A plane-wave DFT calculation with PBE was carried out for a relaxed structure of CaMgFe2.

Values from the calculation:
The calculation puts the energy relative to the elements at 0.39 eV/atom.

a b c (Å): 4.687 4.687 5.580
angles (deg): 65.90 65.90 50.74
Fractional positions:
Fe1 0.472 0.472 0.655
Fe2 0.028 0.028 0.845
Mg1 0.750 0.750 0.750
Ca1 0.250 0.250 0.250

=====

A plane-wave DFT calculation with PBE was carried out for a relaxed structure of AlCoTc.

Values from the calculation:
The calculation puts the energy relative to the elements at -0.02 eV/atom. For the energy above the lowest structure with this stoichiometry, the calculation gives 245 meV/atom.

a b c (Å): 3.998 5.588 7.883
angles (deg): 90.00 90.00 90.00
Fractional positions:
Al1 0.750 0.503 0.119
Al2 0.750 0.997 0.619
Al3 0.250 0.497 0.881
Al4 0.250 0.003 0.381
Tc1 0.750 0.492 0.625
Tc2 0.750 0.008 0.125
Tc3 0.250 0.992 0.875
Tc4 0.250 0.508 0.375
Co1 0.250 0.249 0.639
Co2 0.750 0.751 0.361
Co3 0.750 0.749 0.861
Co4 0.250 0.251 0.139

=====

A plane-wave DFT calculation with PBE was carried out for a relaxed structure of CrAg2Cl5.

Values from the calculation:
The formation energy from raw total energies comes out at -0.693 eV per atom.

a b c (Å): 5.919 6.751 6.751
angles (deg): 83.57 66.18 66.18
Fractional positions:
Cr1 0.999 0.021 0.021
Cl1 0.350 0.757 0.757
Cl2 0.042 0.286 0.774
Cl3 0.746 0.298 0.298
Cl4 0.042 0.774 0.285
Cl5 0.654 0.985 0.985
Ag1 0.583 0.606 0.050
Ag2 0.583 0.050 0.606

=====

A plane-wave DFT calculation with PBE was carried out for a relaxed structure of PmAlAgGe.

Values from the calculation:
The calculation puts the energy relative to the elements at -0.23 eV/atom.

a b c (Å): 4.940 4.940 4.940
angles (deg): 60.00 60.00 60.00
Fractional positions:
Ge1 0.250 0.250 0.250
Al1 0.500 0.500 0.500
Ag1 0.750 0.750 0.750
Pm1 0.000 0.000 0.000